i.
VASP calculation (PBE-GGA) on an optimized crystal structure of CaLaOs2.

The spin magnetization is 0.000 μB per cell.

The structure belongs to space group P2/m (No. 10); the cell edges are 5.008, 3.199 and 5.658 Å and the angles 90.00°, 114.66° and 90.00°. The inequivalent atoms are Ca at (0.000, 0.000, 0.000), La at (0.000, 0.500, 0.500), Os at (0.500, 0.000, 0.500) and Os at (0.500, 0.500, 0.000).

ii.
VASP calculation (PBE-GGA) on an optimized crystal structure of CaLaOs2.

The spin magnetization is 0.000 μB per cell.

The structure belongs to space group P4mm (No. 99); the cell edges are 3.046, 3.046 and 9.669 Å and the angles 90.00°, 90.00° and 90.00°. The inequivalent atoms are Ca at (0.000, 0.000, 0.000), La at (0.500, 0.500, 0.374), Os at (0.000, 0.000, 0.618) and Os at (0.500, 0.500, 0.770).

iii.
VASP calculation (PBE-GGA) on an optimized crystal structure of CaLaOs2.

The spin magnetization is 0.000 μB per cell.

The structure belongs to space group R-3m (No. 166, hexagonal axes); the cell edges are 3.2637, 3.2637 and 27.3368 Å and the angles 90.00°, 90.00° and 120.00°. The inequivalent atoms are Ca at (0.0000, 0.0000, 0.0000), La at (0.0000, 0.0000, 0.5000) and Os at (0.0000, 0.0000, 0.2490).

It comes down to ii, which is 39.0 kJ/mol of atoms more stable than the next structure.

i.
VASP calculation (PBE-GGA) on an optimized crystal structure of CaLaOs2.

The spin magnetization is 0.000 μB per cell.

The structure belongs to space group C2/m (No. 12); the cell edges are 6.098, 9.347 and 3.017 Å and the angles 90.00°, 113.21° and 90.00°. The inequivalent atoms are Ca at (0.000, 0.000, 0.000), La at (0.000, 0.500, 0.000) and Os at (0.250, 0.250, 0.500).

ii.
VASP calculation (PBE-GGA) on an optimized crystal structure of CaLaOs2.

The spin magnetization is 0.000 μB per cell.

The structure belongs to space group F-43m (No. 216); the cell edges are 6.844, 6.844 and 6.844 Å and the angles 90.00°, 90.00° and 90.00°. The inequivalent atoms are Ca at (0.000, 0.000, 0.000), La at (0.250, 0.250, 0.250), Os at (0.000, 0.000, 0.500) and Os at (0.250, 0.250, 0.750).

It comes down to ii, which is 0.9 kJ/mol of atoms more stable than the next structure.

i.
VASP calculation (PBE-GGA) on an optimized crystal structure of CaLaOs2.

The spin magnetization is 0.000 μB per cell.

The structure belongs to space group P2/m (No. 10); the cell edges are 3.057, 4.596 and 6.109 Å and the angles 90.00°, 100.13° and 90.00°. The inequivalent atoms are Ca at (0.000, 0.000, 0.000), La at (0.500, 0.000, 0.500) and Os at (0.300, 0.500, 0.696).

ii.
VASP calculation (PBE-GGA) on an optimized crystal structure of CaLaOs2.

The spin magnetization is 0.001 μB per cell.

The structure belongs to space group I-42d (No. 122); the cell edges are 7.947, 7.947 and 5.518 Å and the angles 90.00°, 90.00° and 90.00°. The inequivalent atoms are Ca at (0.000, 0.000, 0.000), La at (0.000, 0.000, 0.500) and Os at (0.249, 0.250, 0.125).

iii.
VASP calculation (PBE-GGA) on an optimized crystal structure of CaLaOs2.

The spin magnetization is 0.000 μB per cell.

The structure belongs to space group P4/mmm (No. 123); the cell edges are 3.517, 3.517 and 6.865 Å and the angles 90.00°, 90.00° and 90.00°. The inequivalent atoms are Ca at (0.000, 0.000, 0.000), La at (0.000, 0.000, 0.500) and Os at (0.500, 0.500, 0.263).

It comes down to i, which is 8.7 kJ/mol of atoms more stable than the next structure.

i.
VASP calculation (PBE-GGA) on an optimized crystal structure of CaLaOs3.

The spin magnetization is 0.000 μB per cell.

The structure belongs to space group Pm-3m (No. 221); the cell edges are 4.797, 4.797 and 4.797 Å and the angles 90.00°, 90.00° and 90.00°. The inequivalent atoms are Ca at (0.000, 0.000, 0.000), La at (0.500, 0.500, 0.500) and Os at (0.000, 0.000, 0.500).

ii.
VASP calculation (PBE-GGA) on an optimized crystal structure of CaLaOs3.

The spin magnetization is 0.000 μB per cell.

The structure belongs to space group Pm-3m (No. 221); the cell edges are 4.925, 4.925 and 4.925 Å and the angles 90.00°, 90.00° and 90.00°. The inequivalent atoms are Ca at (0.000, 0.000, 0.000), La at (0.500, 0.500, 0.500) and Os at (0.000, 0.500, 0.500).

It comes down to ii, which is 3.1 kJ/mol of atoms more stable than the next structure.

i.
VASP calculation (PBE-GGA) on an optimized crystal structure of CaLa2TlOs.

The spin magnetization is 0.000 μB per cell.

The structure belongs to space group P4/mmm (No. 123); the cell edges are 5.552, 5.552 and 5.489 Å and the angles 90.00°, 90.00° and 90.00°. The inequivalent atoms are Ca at (0.000, 0.000, 0.000), La at (0.000, 0.500, 0.500), Tl at (0.500, 0.500, 0.000) and Os at (0.500, 0.500, 0.500).

ii.
VASP calculation (PBE-GGA) on an optimized crystal structure of CaLa2TlOs.

The spin magnetization is 0.000 μB per cell.

The structure belongs to space group P4/mmm (No. 123); the cell edges are 5.496, 5.496 and 5.651 Å and the angles 90.00°, 90.00° and 90.00°. The inequivalent atoms are Ca at (0.000, 0.000, 0.000), La at (0.000, 0.500, 0.500), Tl at (0.500, 0.500, 0.000) and Os at (0.000, 0.000, 0.500).

It comes down to ii, which is 6.9 kJ/mol of atoms more stable than the next structure.

i.
VASP calculation (PBE-GGA) on an optimized crystal structure of Ca2LaTlOs.

The spin magnetization is 0.000 μB per cell.

The structure belongs to space group P4/mmm (No. 123); the cell edges are 5.598, 5.598 and 5.217 Å and the angles 90.00°, 90.00° and 90.00°. The inequivalent atoms are Ca at (0.000, 0.500, 0.000), La at (0.000, 0.000, 0.500), Tl at (0.500, 0.500, 0.000) and Os at (0.500, 0.500, 0.500).

ii.
VASP calculation (PBE-GGA) on an optimized crystal structure of Ca2LaTlOs.

The spin magnetization is 0.000 μB per cell.

The structure belongs to space group P4/mmm (No. 123); the cell edges are 5.640, 5.640 and 5.251 Å and the angles 90.00°, 90.00° and 90.00°. The inequivalent atoms are Ca at (0.000, 0.500, 0.000), La at (0.000, 0.000, 0.500), Tl at (0.500, 0.500, 0.500) and Os at (0.000, 0.000, 0.000).

It comes down to ii, which is 73.4 kJ/mol of atoms more stable than the next structure.

i.
VASP calculation (PBE-GGA) on an optimized crystal structure of CaLaP3.

The spin magnetization is 0.000 μB per cell.

The structure belongs to space group Pm-3m (No. 221); the cell edges are 5.352, 5.352 and 5.352 Å and the angles 90.00°, 90.00° and 90.00°. The inequivalent atoms are Ca at (0.000, 0.000, 0.000), La at (0.500, 0.500, 0.500) and P at (0.000, 0.500, 0.500).

ii.
VASP calculation (PBE-GGA) on an optimized crystal structure of CaLaP3.

The spin magnetization is 0.000 μB per cell.

The structure belongs to space group Pm-3m (No. 221); the cell edges are 5.056, 5.056 and 5.056 Å and the angles 90.00°, 90.00° and 90.00°. The inequivalent atoms are Ca at (0.000, 0.000, 0.000), La at (0.500, 0.500, 0.500) and P at (0.000, 0.000, 0.500).

It comes down to ii, which is 9.0 kJ/mol of atoms more stable than the next structure.

i.
VASP calculation (PBE-GGA) on an optimized crystal structure of SrCaLa2P.

The spin magnetization is 0.024 μB per cell.

The structure belongs to space group P4/mmm (No. 123); the cell edges are 5.824, 5.824 and 5.713 Å and the angles 90.00°, 90.00° and 90.00°. The inequivalent atoms are Sr at (0.000, 0.000, 0.000), Ca at (0.500, 0.500, 0.000), La at (0.000, 0.500, 0.500) and P at (0.500, 0.500, 0.500).

ii.
VASP calculation (PBE-GGA) on an optimized crystal structure of SrCaLa2P.

The spin magnetization is 0.000 μB per cell.

The structure belongs to space group P4/mmm (No. 123); the cell edges are 5.660, 5.660 and 5.756 Å and the angles 90.00°, 90.00° and 90.00°. The inequivalent atoms are Sr at (0.000, 0.000, 0.000), Ca at (0.000, 0.000, 0.500), La at (0.000, 0.500, 0.500) and P at (0.500, 0.500, 0.000).

It comes down to i, which is 131.9 kJ/mol of atoms more stable than the next structure.

i.
VASP calculation (PBE-GGA) on an optimized crystal structure of Ca2La2Pb.

The spin magnetization is 0.000 μB per cell.

The structure belongs to space group P4/mbm (No. 127); the cell edges are 8.266, 8.266 and 5.341 Å and the angles 90.00°, 90.00° and 90.00°. The inequivalent atoms are Ca at (0.149, 0.351, 0.000), La at (0.156, 0.656, 0.500) and Pb at (0.000, 0.000, 0.000).

ii.
VASP calculation (PBE-GGA) on an optimized crystal structure of Ca2La2Pb.

The spin magnetization is 0.000 μB per cell.

The structure belongs to space group P4/mbm (No. 127); the cell edges are 8.294, 8.294 and 5.537 Å and the angles 90.00°, 90.00° and 90.00°. The inequivalent atoms are Ca at (0.171, 0.329, 0.000), La at (0.129, 0.629, 0.500) and Pb at (0.000, 0.000, 0.500).

It comes down to i, which is 0.7 kJ/mol of atoms more stable than the next structure.

i.
VASP calculation (PBE-GGA) on an optimized crystal structure of CaLa2Pb3.

The spin magnetization is 0.000 μB per cell.

The structure belongs to space group C2/c (No. 15); the cell edges are 17.684, 6.699 and 6.566 Å and the angles 90.00°, 99.75° and 90.00°. The inequivalent atoms are Ca at (0.000, 0.126, 0.250), La at (0.169, 0.377, 0.598), Pb at (0.000, 0.379, 0.750) and Pb at (0.165, 0.120, 0.072).

ii.
VASP calculation (PBE-GGA) on an optimized crystal structure of CaLa2Pb3.

The spin magnetization is 0.000 μB per cell.

The structure belongs to space group Cmmm (No. 65); the cell edges are 5.202, 15.640 and 9.214 Å and the angles 90.00°, 90.00° and 90.00°. The inequivalent atoms are Ca at (0.000, 0.170, 0.000), La at (0.000, 0.168, 0.500), La at (0.000, 0.500, 0.000), La at (0.000, 0.500, 0.500), Pb at (0.000, 0.000, 0.246) and Pb at (0.000, 0.333, 0.246).

It comes down to ii, which is 6.4 kJ/mol of atoms more stable than the next structure.

i.
VASP calculation (PBE-GGA) on an optimized crystal structure of CaLa3Pb2.

The spin magnetization is 11.098 μB per cell.

The structure belongs to space group Ibam (No. 72); the cell edges are 6.863, 17.981 and 6.750 Å and the angles 90.00°, 90.00° and 90.00°. The inequivalent atoms are Ca at (0.000, 0.000, 0.250), La at (0.000, 0.500, 0.250), La at (0.249, 0.321, 0.000) and Pb at (0.247, 0.134, 0.000).

ii.
VASP calculation (PBE-GGA) on an optimized crystal structure of CaLa3Pb2.

The spin magnetization is 0.000 μB per cell.

The structure belongs to space group Pmm2 (No. 25); the cell edges are 3.450, 5.611 and 9.603 Å and the angles 90.00°, 90.00° and 90.00°. The inequivalent atoms are Ca at (0.000, 0.000, 0.000), La at (0.000, 0.000, 0.343), La at (0.000, 0.500, 0.489), La at (0.000, 0.500, 0.817), Pb at (0.500, 0.000, 0.666) and Pb at (0.500, 0.500, 0.158).

It comes down to i, which is 28.0 kJ/mol of atoms more stable than the next structure.

i.
VASP calculation (PBE-GGA) on an optimized crystal structure of Ca3LaPb.

The spin magnetization is 0.002 μB per cell.

The structure belongs to space group Pm-3m (No. 221); the cell edges are 5.878, 5.878 and 5.878 Å and the angles 90.00°, 90.00° and 90.00°. The inequivalent atoms are Ca at (0.000, 0.000, 0.500), La at (0.500, 0.500, 0.500) and Pb at (0.000, 0.000, 0.000).

ii.
VASP calculation (PBE-GGA) on an optimized crystal structure of Ca3LaPb.

The spin magnetization is 0.674 μB per cell.

The structure belongs to space group Pm-3m (No. 221); the cell edges are 5.859, 5.859 and 5.859 Å and the angles 90.00°, 90.00° and 90.00°. The inequivalent atoms are Ca at (0.000, 0.000, 0.500), La at (0.000, 0.000, 0.000) and Pb at (0.500, 0.500, 0.500).

It comes down to i, which is 64.9 kJ/mol of atoms more stable than the next structure.